Record 1
Compound: LiGdLu
Source: the Alexandria database
Functional: PBE-GGA
Structure: optimized geometry

a b c (Å): 3.440 3.440 8.291
angles (deg): 90.00 90.00 120.00
Positions (direct):
Li 0.000 0.000 0.000
Gd 0.333 0.667 0.662
Lu 0.667 0.333 0.325

Results
- offset from the most stable computed form (meV/atom) = 36
- volume (A^3/atom) = 28.3
- calculated density (g/cm³) = 6.628
- SG = P3m1 (156)
- raw total energy (eV per atom) = -6.7132



Record 2
Compound: LiGd2Lu
Source: the Alexandria database
Functional: PBE-GGA
Structure: optimized geometry

a b c (Å): 3.448 3.448 36.172
angles (deg): 90.00 90.00 120.00
Positions (direct):
Li 0.000 0.000 0.000
Li 0.333 0.667 0.667
Li 0.667 0.333 0.333
Gd 0.000 0.000 0.089
Gd 0.000 0.000 0.911
Gd 0.333 0.667 0.578
Gd 0.333 0.667 0.756
Gd 0.667 0.333 0.244
Gd 0.667 0.333 0.422
Lu 0.000 0.000 0.500
Lu 0.333 0.667 0.167
Lu 0.667 0.333 0.833

Results
- offset from the most stable computed form (meV/atom) = 97
- volume (A^3/atom) = 31.0
- calculated density (g/cm³) = 6.640
- SG = R-3m (166)
- raw total energy (eV per atom) = -8.4831



Record 3
Compound: Li2GdLu
Source: the Alexandria database
Functional: PBE-GGA
Structure: optimized geometry

a b c (Å): 5.212 5.212 3.666
angles (deg): 90.00 90.00 90.00
Positions (direct):
Li 0.000 0.500 0.000
Li 0.500 0.000 0.000
Gd 0.000 0.000 0.500
Lu 0.500 0.500 0.500

Results
- offset from the most stable computed form (meV/atom) = 0
- volume (A^3/atom) = 24.9
- calculated density (g/cm³) = 5.770
- SG = P4/mmm (123)
- raw total energy (eV per atom) = -5.4619



Record 4
Compound: Li4GdLu
Source: the Alexandria database
Functional: PBE-GGA
Structure: optimized geometry

a b c (Å): 5.820 5.820 5.820
angles (deg): 60.00 60.00 60.00
Positions (direct):
Li 0.125 0.125 0.125
Li 0.125 0.125 0.624
Li 0.125 0.624 0.125
Li 0.624 0.125 0.125
Gd 0.750 0.750 0.750
Lu 0.500 0.500 0.500

Results
- volume (A^3/atom) = 23.2
- calculated density (g/cm³) = 4.288
- SG = F-43m (216)
- raw total energy (eV per atom) = -4.2573



Record 5
Compound: LiGdLu
Source: the Alexandria database
Functional: PBE-GGA
Structure: optimized geometry

a b c (Å): 3.629 3.629 12.360
angles (deg): 90.00 90.00 90.00
Positions (direct):
Li 0.000 0.000 0.000
Li 0.500 0.500 0.500
Gd 0.000 0.000 0.662
Gd 0.500 0.500 0.162
Lu 0.000 0.000 0.351
Lu 0.500 0.500 0.851

Results
- offset from the most stable computed form (meV/atom) = 0
- volume (A^3/atom) = 27.1
- calculated density (g/cm³) = 6.921
- SG = I4mm (107)
- raw total energy (eV per atom) = -6.7495



Record 6
Compound: LiGdLu2
Source: the Alexandria database
Functional: PBE-GGA
Structure: optimized geometry

a b c (Å): 3.554 3.554 8.675
angles (deg): 90.00 90.00 90.00
Positions (direct):
Li 0.000 0.000 0.000
Gd 0.000 0.000 0.500
Lu 0.500 0.500 0.218
Lu 0.500 0.500 0.782

Results
- offset from the most stable computed form (meV/atom) = 0
- volume (A^3/atom) = 27.4
- calculated density (g/cm³) = 7.791
- SG = P4/mmm (123)
- raw total energy (eV per atom) = -6.1672



Record 7
Compound: LiGd2Lu
Source: the Alexandria database
Functional: PBE-GGA
Structure: optimized geometry

a b c (Å): 7.723 7.723 7.723
angles (deg): 90.00 90.00 90.00
Positions (direct):
Li 0.000 0.000 0.000
Li 0.000 0.500 0.500
Li 0.500 0.000 0.500
Li 0.500 0.500 0.000
Gd 0.250 0.250 0.250
Gd 0.250 0.250 0.750
Gd 0.250 0.750 0.250
Gd 0.250 0.750 0.750
Gd 0.750 0.250 0.250
Gd 0.750 0.250 0.750
Gd 0.750 0.750 0.250
Gd 0.750 0.750 0.750
Lu 0.000 0.000 0.500
Lu 0.000 0.500 0.000
Lu 0.500 0.000 0.000
Lu 0.500 0.500 0.500

Results
- offset from the most stable computed form (meV/atom) = 85
- volume (A^3/atom) = 28.8
- calculated density (g/cm³) = 7.157
- SG = Fm-3m (225)
- raw total energy (eV per atom) = -8.4945



Record 8
Compound: LiGdLu2
Source: the Alexandria database
Functional: PBE-GGA
Structure: optimized geometry

a b c (Å): 5.501 5.501 3.709
angles (deg): 90.00 90.00 90.00
Positions (direct):
Li 0.000 0.000 0.000
Gd 0.500 0.500 0.000
Lu 0.000 0.500 0.500
Lu 0.500 0.000 0.500

Results
- offset from the most stable computed form (meV/atom) = 97
- volume (A^3/atom) = 28.1
- calculated density (g/cm³) = 7.606
- SG = P4/mmm (123)
- raw total energy (eV per atom) = -6.0699



Record 9
Compound: LiGdLuMo
Source: the Alexandria database
Functional: PBE-GGA
Structure: optimized geometry

a b c (Å): 7.046 7.046 7.046
angles (deg): 90.00 90.00 90.00
Positions (direct):
Li 0.000 0.000 0.000
Li 0.000 0.500 0.500
Li 0.500 0.000 0.500
Li 0.500 0.500 0.000
Gd 0.250 0.250 0.250
Gd 0.250 0.750 0.750
Gd 0.750 0.250 0.750
Gd 0.750 0.750 0.250
Lu 0.250 0.250 0.750
Lu 0.250 0.750 0.250
Lu 0.750 0.250 0.250
Lu 0.750 0.750 0.750
Mo 0.000 0.000 0.500
Mo 0.000 0.500 0.000
Mo 0.500 0.000 0.000
Mo 0.500 0.500 0.500

Results
- volume (A^3/atom) = 21.9
- calculated density (g/cm³) = 8.263
- SG = F-43m (216)
- raw total energy (eV per atom) = -7.5860



Record 10
Compound: LiGdLuPb
Source: the Alexandria database
Functional: PBE-GGA
Structure: optimized geometry

a b c (Å): 7.467 7.467 7.467
angles (deg): 90.00 90.00 90.00
Positions (direct):
Li 0.000 0.000 0.000
Li 0.000 0.500 0.500
Li 0.500 0.000 0.500
Li 0.500 0.500 0.000
Gd 0.250 0.250 0.250
Gd 0.250 0.750 0.750
Gd 0.750 0.250 0.750
Gd 0.750 0.750 0.250
Lu 0.250 0.250 0.750
Lu 0.250 0.750 0.250
Lu 0.750 0.250 0.250
Lu 0.750 0.750 0.750
Pb 0.000 0.000 0.500
Pb 0.000 0.500 0.000
Pb 0.500 0.000 0.000
Pb 0.500 0.500 0.500

Results
- volume (A^3/atom) = 26.0
- calculated density (g/cm³) = 8.716
- SG = F-43m (216)
- raw total energy (eV per atom) = -6.2969



Record 11
Compound: LiGdLuPd
Source: the Alexandria database
Functional: PBE-GGA
Structure: optimized geometry

a b c (Å): 7.069 7.069 7.069
angles (deg): 90.00 90.00 90.00
Positions (direct):
Li 0.000 0.000 0.000
Li 0.000 0.500 0.500
Li 0.500 0.000 0.500
Li 0.500 0.500 0.000
Gd 0.250 0.250 0.250
Gd 0.250 0.750 0.750
Gd 0.750 0.250 0.750
Gd 0.750 0.750 0.250
Lu 0.250 0.250 0.750
Lu 0.250 0.750 0.250
Lu 0.750 0.250 0.250
Lu 0.750 0.750 0.750
Pd 0.000 0.000 0.500
Pd 0.000 0.500 0.000
Pd 0.500 0.000 0.000
Pd 0.500 0.500 0.500

Results
- volume (A^3/atom) = 22.1
- calculated density (g/cm³) = 8.378
- SG = F-43m (216)
- raw total energy (eV per atom) = -6.8463



Record 12
Compound: LiPrGdLu
Source: the Alexandria database
Functional: PBE-GGA
Structure: optimized geometry

a b c (Å): 7.812 7.812 7.812
angles (deg): 90.00 90.00 90.00
Positions (direct):
Li 0.000 0.000 0.000
Li 0.000 0.500 0.500
Li 0.500 0.000 0.500
Li 0.500 0.500 0.000
Pr 0.250 0.250 0.250
Pr 0.250 0.750 0.750
Pr 0.750 0.250 0.750
Pr 0.750 0.750 0.250
Gd 0.250 0.250 0.750
Gd 0.250 0.750 0.250
Gd 0.750 0.250 0.250
Gd 0.750 0.750 0.750
Lu 0.000 0.000 0.500
Lu 0.000 0.500 0.000
Lu 0.500 0.000 0.000
Lu 0.500 0.500 0.500

Results
- volume (A^3/atom) = 29.8
- calculated density (g/cm³) = 6.688
- SG = F-43m (216)
- raw total energy (eV per atom) = -6.1815



Record 13
Compound: LiGdLuSi
Source: the Alexandria database
Functional: PBE-GGA
Structure: optimized geometry

a b c (Å): 6.981 6.981 6.981
angles (deg): 90.00 90.00 90.00
Positions (direct):
Li 0.000 0.000 0.000
Li 0.000 0.500 0.500
Li 0.500 0.000 0.500
Li 0.500 0.500 0.000
Gd 0.250 0.250 0.750
Gd 0.250 0.750 0.250
Gd 0.750 0.250 0.250
Gd 0.750 0.750 0.750
Lu 0.250 0.250 0.250
Lu 0.250 0.750 0.750
Lu 0.750 0.250 0.750
Lu 0.750 0.750 0.250
Si 0.000 0.000 0.500
Si 0.000 0.500 0.000
Si 0.500 0.000 0.000
Si 0.500 0.500 0.500

Results
- ΔE_f (raw) (meV per atom) = -336
- volume (A^3/atom) = 21.3
- calculated density (g/cm³) = 7.169
- SG = F-43m (216)
- raw total energy (eV per atom) = -6.8204



Record 14
Compound: LiSmGdLu
Source: the Alexandria database
Functional: PBE-GGA
Structure: optimized geometry

a b c (Å): 7.751 7.751 7.751
angles (deg): 90.00 90.00 90.00
Positions (direct):
Li 0.000 0.000 0.000
Li 0.000 0.500 0.500
Li 0.500 0.000 0.500
Li 0.500 0.500 0.000
Sm 0.250 0.250 0.750
Sm 0.250 0.750 0.250
Sm 0.750 0.250 0.250
Sm 0.750 0.750 0.750
Gd 0.250 0.250 0.250
Gd 0.250 0.750 0.750
Gd 0.750 0.250 0.750
Gd 0.750 0.750 0.250
Lu 0.000 0.000 0.500
Lu 0.000 0.500 0.000
Lu 0.500 0.000 0.000
Lu 0.500 0.500 0.500

Results
- volume (A^3/atom) = 29.1
- calculated density (g/cm³) = 6.981
- SG = F-43m (216)
- raw total energy (eV per atom) = -6.1605



Record 15
Compound: LiGdTmLu
Source: the Alexandria database
Functional: PBE-GGA
Structure: optimized geometry

a b c (Å): 7.656 7.656 7.656
angles (deg): 90.00 90.00 90.00
Positions (direct):
Li 0.000 0.000 0.000
Li 0.000 0.500 0.500
Li 0.500 0.000 0.500
Li 0.500 0.500 0.000
Gd 0.250 0.250 0.250
Gd 0.250 0.750 0.750
Gd 0.750 0.250 0.750
Gd 0.750 0.750 0.250
Tm 0.250 0.250 0.750
Tm 0.250 0.750 0.250
Tm 0.750 0.250 0.250
Tm 0.750 0.750 0.750
Lu 0.000 0.000 0.500
Lu 0.000 0.500 0.000
Lu 0.500 0.000 0.000
Lu 0.500 0.500 0.500

Results
- volume (A^3/atom) = 28.0
- calculated density (g/cm³) = 7.521
- SG = F-43m (216)
- raw total energy (eV per atom) = -6.0866